(1)
Compound: Nd2AlPd5
Source: the Alexandria database
Functional: PBE
Structure: relaxed

Results
Calculated total energy   -5.66 eV/atom
Crystal system   tetragonal
ΔE_f   -0.7527 eV per atom
Space group   I4mm
Density of states at the Fermi level   4.7 states/eV/f.u.

abc: 6.050 6.050 6.050
angles: 94.00 117.72 117.72
Element x y z (fractional)
Al  0.000  0.953  0.953
Pd  0.000  0.278  0.729
Nd  0.500  0.749  0.249
Pd  0.000  0.729  0.278
Pd  0.000  0.257  0.257
Pd  0.450  0.729  0.729
Pd  0.550  0.278  0.278
Nd  0.500  0.249  0.749

---

(2)
Compound: NdAl6Pd3
Source: the Alexandria database
Functional: PBE
Structure: relaxed

Results
Calculated total energy   -4.97 eV/atom
Crystal system   monoclinic
ΔE_f   -0.6860 eV per atom
Space group   P2_1/m
Density of states at the Fermi level   3.9 states/eV/f.u.

abc: 4.327 8.741 9.578
angles: 86.15 90.00 90.00
Element x y z (fractional)
Al  0.250  0.304  0.733
Nd  0.250  0.948  0.301
Pd  0.750  0.174  0.103
Pd  0.750  0.719  0.523
Al  0.750  0.687  0.795
Al  0.250  0.803  0.630
Al  0.250  0.313  0.205
Pd  0.250  0.281  0.477
Pd  0.250  0.613  0.154
Al  0.750  0.887  0.036
Al  0.250  0.530  0.909
Pd  0.250  0.826  0.897
Pd  0.750  0.387  0.846
Al  0.750  0.696  0.267
Al  0.250  0.575  0.429
Al  0.750  0.425  0.571
Al  0.250  0.113  0.964
Al  0.750  0.470  0.091
Nd  0.750  0.052  0.699
Al  0.750  0.197  0.370

---

(3)
Compound: Nd2Al5Pd5
Source: the Alexandria database
Functional: PBE
Structure: relaxed

Results
Calculated total energy   -5.37 eV/atom
Crystal system   orthorhombic
ΔE_f   -0.8498 eV per atom
Space group   Pmmm
Density of states at the Fermi level   7.4 states/eV/f.u.

abc: 4.280 5.422 9.515
angles: 90.00 90.00 90.00
Element x y z (fractional)
Pd  0.000  0.000  0.811
Pd  0.000  0.500  0.335
Al  0.500  0.251  0.239
Pd  0.000  0.500  0.665
Pd  0.500  0.000  0.000
Al  0.500  0.251  0.761
Al  0.500  0.500  0.500
Al  0.500  0.749  0.761
Pd  0.000  0.000  0.189
Nd  0.000  0.500  0.000
Al  0.500  0.749  0.239
Nd  0.000  0.000  0.500

---

(4)
Compound: NdAl2Pd
Source: the Alexandria database
Functional: PBE
Structure: relaxed

Results
Calculated total energy   -5.08 eV/atom
Crystal system   orthorhombic
ΔE_f   -0.7194 eV per atom
Space group   Pnma
Density of states at the Fermi level   2.6 states/eV/f.u.

abc: 5.859 6.990 16.012
angles: 90.00 90.00 90.00
Element x y z (fractional)
Pd  0.502  0.250  0.572
Nd  0.766  0.250  0.395
Al  0.974  0.444  0.212
Al  0.026  0.944  0.788
Al  0.526  0.056  0.712
Pd  0.740  0.750  0.181
Al  0.474  0.944  0.288
Al  0.222  0.057  0.959
Al  0.026  0.556  0.788
Pd  0.240  0.250  0.319
Al  0.278  0.443  0.459
Al  0.974  0.056  0.212
Nd  0.234  0.750  0.605
Pd  0.260  0.250  0.819
Pd  0.498  0.750  0.428
Nd  0.517  0.750  0.860
Pd  0.998  0.250  0.072
Nd  0.983  0.750  0.360
Al  0.778  0.943  0.041
Al  0.526  0.444  0.712
Al  0.474  0.556  0.288
Pd  0.002  0.750  0.928
Nd  0.734  0.250  0.895
Al  0.722  0.557  0.541
Al  0.722  0.943  0.541
Nd  0.017  0.250  0.640
Al  0.778  0.557  0.041
Al  0.278  0.057  0.459
Al  0.222  0.443  0.959
Nd  0.483  0.250  0.140
Nd  0.266  0.750  0.105
Pd  0.760  0.750  0.681

---

Results for density: 8.7, 5.7, 7.2, 6.2 (in g/cm3, following the order of the records).